(1)
Below is a relaxed structure of Hf2CrAg2S6, with properties calculated at the PBE-GGA level.

Calculated values
Calculated volume: 22.723 A^3/atom
Energy relative to the elements, uncorrected: -0.94 eV per atom
Electronic total energy: -6.40 eV per atom

a b c (Å): 6.173 6.173 7.739
angles (deg): 95.30 95.30 120.40
Atoms (fractional coordinates):
Hf  0.160  0.840  0.000
Hf  0.840  0.160  0.000
Cr  0.500  0.500  0.000
Ag  0.355  0.645  0.500
Ag  0.645  0.355  0.500
S  0.137  0.137  0.809
S  0.230  0.548  0.187
S  0.452  0.770  0.813
S  0.548  0.230  0.187
S  0.770  0.452  0.813
S  0.863  0.863  0.191


(2)
Below is a relaxed structure of FeAsP, with properties calculated at the PBE-GGA level.

Calculated values
Calculated volume: 17.066 A^3/atom
Formation enthalpy at 0 K: 0.100 eV per atom
Electronic total energy: -6.07 eV per atom

a b c (Å): 3.271 9.727 6.437
angles (deg): 90.00 90.00 90.00
Atoms (fractional coordinates):
Fe  0.000  0.000  0.202
Fe  0.000  0.000  0.798
Fe  0.500  0.500  0.202
Fe  0.500  0.500  0.798
As  0.009  0.148  0.500
As  0.491  0.648  0.500
As  0.509  0.352  0.500
As  0.991  0.852  0.500
P  0.002  0.825  0.000
P  0.498  0.325  0.000
P  0.502  0.675  0.000
P  0.998  0.175  0.000


(3)
Below is a relaxed structure of BaY2MnSb, with properties calculated at the PBE-GGA level.

Calculated values
Calculated volume: 41.036 A^3/atom
Energy relative to the elements, uncorrected: 1.43 eV per atom
Electronic total energy: -4.20 eV per atom

a b c (Å): 5.808 5.808 6.083
angles (deg): 90.00 90.00 90.00
Atoms (fractional coordinates):
Ba  0.000  0.000  0.000
Y  0.000  0.500  0.000
Y  0.500  0.000  0.000
Mn  0.500  0.500  0.500
Sb  0.000  0.000  0.500


(4)
Below is a relaxed structure of EuIn2Ir, with properties calculated at the PBE-GGA level.

Calculated values
Calculated volume: 21.406 A^3/atom
Formation enthalpy at 0 K: -0.210 eV per atom
Electronic total energy: -6.36 eV per atom

a b c (Å): 4.947 4.947 4.947
angles (deg): 60.00 60.00 60.00
Atoms (fractional coordinates):
Eu  0.000  0.000  0.000
In  0.250  0.250  0.250
In  0.750  0.750  0.750
Ir  0.500  0.500  0.500


(5)
Below is a relaxed structure of Cd5Pd3I12, with properties calculated at the PBE-GGA level.

Calculated values
Calculated volume: 38.264 A^3/atom
Energy relative to the elements, uncorrected: -0.21 eV per atom
Electronic total energy: -2.14 eV per atom

a b c (Å): 15.843 15.843 15.843
angles (deg): 109.47 109.47 109.47
Atoms (fractional coordinates):
Cd  0.000  0.000  0.000
Cd  0.000  0.000  0.500
Cd  0.000  0.500  0.000
Cd  0.000  0.500  0.500
Cd  0.125  0.750  0.875
Cd  0.125  0.875  0.250
Cd  0.250  0.125  0.875
Cd  0.250  0.625  0.375
Cd  0.375  0.250  0.625
Cd  0.375  0.625  0.750
Cd  0.500  0.000  0.000
Cd  0.500  0.000  0.500
Cd  0.500  0.500  0.000
Cd  0.500  0.500  0.500
Cd  0.625  0.375  0.250
Cd  0.625  0.750  0.375
Cd  0.750  0.375  0.625
Cd  0.750  0.875  0.125
Cd  0.875  0.125  0.750
Cd  0.875  0.250  0.125
Pd  0.125  0.250  0.375
Pd  0.125  0.375  0.750
Pd  0.250  0.375  0.125
Pd  0.250  0.875  0.625
Pd  0.375  0.125  0.250
Pd  0.375  0.750  0.125
Pd  0.625  0.250  0.875
Pd  0.625  0.875  0.750
Pd  0.750  0.125  0.375
Pd  0.750  0.625  0.875
Pd  0.875  0.625  0.250
Pd  0.875  0.750  0.625
I  0.024  0.646  0.196
I  0.024  0.878  0.827
I  0.050  0.173  0.696
I  0.050  0.378  0.354
I  0.122  0.173  0.976
I  0.122  0.450  0.146
I  0.146  0.122  0.450
I  0.146  0.524  0.696
I  0.173  0.696  0.050
I  0.173  0.976  0.122
I  0.196  0.024  0.646
I  0.196  0.673  0.550
I  0.304  0.854  0.476
I  0.304  0.950  0.827
I  0.327  0.378  0.524
I  0.327  0.450  0.804
I  0.354  0.050  0.378
I  0.354  0.804  0.976
I  0.378  0.354  0.050
I  0.378  0.524  0.327
I  0.450  0.146  0.122
I  0.450  0.804  0.327
I  0.476  0.304  0.854
I  0.476  0.673  0.622
I  0.524  0.327  0.378
I  0.524  0.696  0.146
I  0.550  0.196  0.673
I  0.550  0.854  0.878
I  0.622  0.476  0.673
I  0.622  0.646  0.950
I  0.646  0.196  0.024
I  0.646  0.950  0.622
I  0.673  0.550  0.196
I  0.673  0.622  0.476
I  0.696  0.050  0.173
I  0.696  0.146  0.524
I  0.804  0.327  0.450
I  0.804  0.976  0.354
I  0.827  0.024  0.878
I  0.827  0.304  0.950
I  0.854  0.476  0.304
I  0.854  0.878  0.550
I  0.878  0.550  0.854
I  0.878  0.827  0.024
I  0.950  0.622  0.646
I  0.950  0.827  0.304
I  0.976  0.122  0.173
I  0.976  0.354  0.804


(6)
Below is a relaxed structure of Ho4MgZr, with properties calculated at the PBE-GGA level.

Calculated values
Calculated volume: 28.195 A^3/atom
Formation enthalpy at 0 K: 0.032 eV per atom
Electronic total energy: -4.71 eV per atom

a b c (Å): 3.431 3.431 14.370
angles (deg): 90.00 90.00 90.00
Atoms (fractional coordinates):
Ho  0.000  0.000  0.159
Ho  0.000  0.000  0.841
Ho  0.500  0.500  0.339
Ho  0.500  0.500  0.661
Mg  0.000  0.000  0.500
Zr  0.500  0.500  0.000


(7)
Below is a relaxed structure of Rb3Np2CrTe6, with properties calculated at the PBE-GGA level.

Calculated values
Calculated volume: 36.693 A^3/atom
Energy relative to the elements, uncorrected: -0.74 eV per atom
Electronic total energy: -5.51 eV per atom

a b c (Å): 7.738 7.738 8.880
angles (deg): 98.39 98.39 120.03
Atoms (fractional coordinates):
Rb  0.000  0.000  0.000
Rb  0.329  0.671  0.000
Rb  0.671  0.329  0.000
Np  0.166  0.834  0.500
Np  0.834  0.166  0.500
Cr  0.500  0.500  0.500
Te  0.122  0.437  0.309
Te  0.250  0.250  0.693
Te  0.437  0.122  0.309
Te  0.563  0.878  0.691
Te  0.750  0.750  0.307
Te  0.878  0.563  0.691


(8)
Below is a relaxed structure of Tm8Tc2Sb, with properties calculated at the PBE-GGA level.

Calculated values
Calculated volume: 28.151 A^3/atom
Energy relative to the elements, uncorrected: -0.07 eV per atom
Electronic total energy: -5.58 eV per atom

a b c (Å): 8.348 8.348 5.099
angles (deg): 102.71 102.71 64.50
Atoms (fractional coordinates):
Tm  0.057  0.057  0.298
Tm  0.159  0.580  0.070
Tm  0.279  0.279  0.492
Tm  0.420  0.841  0.930
Tm  0.580  0.159  0.070
Tm  0.721  0.721  0.508
Tm  0.841  0.420  0.930
Tm  0.943  0.943  0.702
Tc  0.182  0.182  0.922
Tc  0.818  0.818  0.078
Sb  0.500  0.500  0.500


(9)
Below is a relaxed structure of Ni2CS, with properties calculated at the PBE-GGA level.

Calculated values
Calculated volume: 12.434 A^3/atom
Energy relative to the elements, uncorrected: 0.17 eV per atom
Electronic total energy: -6.05 eV per atom

a b c (Å): 6.319 6.319 5.687
angles (deg): 108.63 108.63 27.63
Atoms (fractional coordinates):
Ni  0.041  0.041  0.228
Ni  0.365  0.365  0.055
Ni  0.635  0.635  0.945
Ni  0.959  0.959  0.772
C  0.493  0.493  0.376
C  0.507  0.507  0.624
S  0.219  0.219  0.231
S  0.781  0.781  0.769


(10)
Below is a relaxed structure of Pm3Er5Th, with properties calculated at the PBE-GGA level.

Calculated values
Calculated volume: 31.854 A^3/atom
Formation enthalpy at 0 K: 0.062 eV per atom
Electronic total energy: -4.88 eV per atom

a b c (Å): 9.717 9.717 7.013
angles (deg): 90.00 90.00 120.00
Atoms (fractional coordinates):
Pm  0.000  0.337  0.250
Pm  0.000  0.663  0.750
Pm  0.337  0.000  0.250
Pm  0.337  0.337  0.750
Pm  0.663  0.000  0.750
Pm  0.663  0.663  0.250
Er  0.000  0.330  0.750
Er  0.000  0.670  0.250
Er  0.330  0.000  0.750
Er  0.330  0.330  0.250
Er  0.333  0.667  0.000
Er  0.333  0.667  0.500
Er  0.667  0.333  0.000
Er  0.667  0.333  0.500
Er  0.670  0.000  0.250
Er  0.670  0.670  0.750
Th  0.000  0.000  0.000
Th  0.000  0.000  0.500